#a
GGA-PBE TaCd2Tc, optimized geometry; symmetry = Cmm2, No. 35
1.0
1.616 -2.443 0.000
1.616 2.443 0.000
0.000 0.000 9.670
Ta Cd Tc
1 2 1
Direct
0.000 0.000 0.000
0.000 0.000 0.453
0.500 0.500 0.735
0.500 0.500 0.202

#b
GGA-PBE TaCd2Tc, optimized geometry; symmetry = Cmmm, No. 65
1.0
2.765 -4.678 0.000
2.765 4.678 0.000
0.000 0.000 2.796
Ta Cd Tc
1 2 1
Direct
0.000 0.000 0.000
0.000 0.500 0.500
0.500 0.000 0.500
0.500 0.500 0.000

#c
GGA-PBE TaCd2Tc, optimized geometry; symmetry = C2/m, No. 12
1.0
2.761 -4.804 0.000
2.761 4.804 0.000
-0.614 0.000 2.727
Ta Cd Tc
1 2 1
Direct
0.000 0.000 0.000
0.000 0.500 0.500
0.500 0.000 0.500
0.500 0.500 0.000

#d
GGA-PBE TaCd2Tc, optimized geometry; symmetry = P4mm, No. 99
1.0
3.300 0.000 0.000
0.000 3.300 0.000
0.000 0.000 6.977
Ta Cd Tc
1 2 1
Direct
0.000 0.000 0.000
0.000 0.000 0.442
0.500 0.500 0.715
0.500 0.500 0.170

Which one is most stable, and which one is least stable? #d is the most stable of them, while #b is the least stable.

#a
GGA-PBE TaCd2Tc, optimized geometry; symmetry = Cm, No. 8
1.0
4.833 -1.399 0.000
4.833 1.399 0.000
-0.559 0.000 5.390
Ta Cd Tc
1 2 1
Direct
0.000 0.000 0.000
0.249 0.249 0.709
0.496 0.496 0.483
0.752 0.752 0.192

#b
GGA-PBE TaCd2Tc, optimized geometry; symmetry = F-43m, No. 216
1.0
0.000 3.309 3.309
3.309 0.000 3.309
3.309 3.309 0.000
Ta Cd Tc
1 2 1
Direct
0.000 0.000 0.000
0.500 0.500 0.500
0.750 0.750 0.750
0.250 0.250 0.250

Which one is most stable, and which one is least stable? #a is the most stable of them, while #b is the least stable.

#a
GGA-PBE TaCd2Tc, optimized geometry; symmetry = P2/m, No. 10
1.0
2.794 0.000 0.000
0.000 4.807 0.000
-1.255 0.000 5.384
Ta Cd Tc
1 2 1
Direct
0.000 0.000 0.000
0.441 0.500 0.743
0.559 0.500 0.257
0.000 0.000 0.500

#b
GGA-PBE TaCd2Tc, optimized geometry; symmetry = Cmmm, No. 65
1.0
1.667 -2.245 0.000
1.667 2.245 0.000
0.000 0.000 9.715
Ta Cd Tc
1 2 1
Direct
0.000 0.000 0.000
0.500 0.500 0.259
0.500 0.500 0.741
0.000 0.000 0.500

#c
GGA-PBE TaCd2Tc, optimized geometry; symmetry = R3m, No. 160
1.0
1.550 0.895 9.552
-1.550 0.895 9.552
0.000 -1.789 9.552
Ta Cd Tc
1 2 1
Direct
0.000 0.000 0.000
0.519 0.519 0.519
0.757 0.757 0.757
0.271 0.271 0.271

#d
GGA-PBE TaCd2Tc, optimized geometry; symmetry = I-42d, No. 122
1.0
-3.863 3.863 2.665
3.863 -3.863 2.665
3.863 3.863 -2.665
Ta Cd Tc
2 4 2
Direct
0.000 0.000 0.000
0.750 0.250 0.500
0.138 0.625 0.013
0.375 0.388 0.513
0.612 0.125 0.987
0.875 0.862 0.487
0.250 0.750 0.500
0.500 0.500 0.000

Which one is most stable, and which one is least stable? #c is the most stable of them, while #d is the least stable.

#a
GGA-PBE TaCd2Tc, optimized geometry; symmetry = R-3m, No. 166
1.0
1.450 0.837 9.991
-1.450 0.837 9.991
0.000 -1.675 9.991
Ta Cd Tc
1 2 1
Direct
0.000 0.000 0.000
0.246 0.246 0.246
0.754 0.754 0.754
0.500 0.500 0.500

#b
GGA-PBE TaCd2Tc, optimized geometry; symmetry = Pmmm, No. 47
1.0
2.804 0.000 0.000
0.000 4.631 0.000
0.000 0.000 5.558
Ta Cd Tc
1 2 1
Direct
0.000 0.000 0.000
0.500 0.500 0.254
0.500 0.500 0.746
0.000 0.000 0.500

Which one is most stable, and which one is least stable? #b is the most stable of them, while #a is the least stable.

#a
GGA-PBE TaCd2Tc, optimized geometry; symmetry = Imm2, No. 44
1.0
-1.653 2.446 4.668
1.653 -2.446 4.668
1.653 2.446 -4.668
Ta Cd Tc
1 2 1
Direct
0.000 0.000 0.000
0.276 0.776 0.500
0.539 0.539 0.000
0.802 0.302 0.500

#b
GGA-PBE TaCd2Tc, optimized geometry; symmetry = I-4m2, No. 119
1.0
-2.105 2.105 4.038
2.105 -2.105 4.038
2.105 2.105 -4.038
Ta Cd Tc
1 2 1
Direct
0.000 0.000 0.000
0.500 0.500 0.000
0.750 0.250 0.500
0.250 0.750 0.500

Which one is most stable, and which one is least stable? #a is the most stable of them, while #b is the least stable.

#a
GGA-PBE TaCd2Tc, optimized geometry; symmetry = Pmmm, No. 47
1.0
3.473 0.000 0.000
0.000 4.309 0.000
0.000 0.000 4.817
Ta Cd Tc
1 2 1
Direct
0.000 0.000 0.000
0.000 0.500 0.500
0.500 0.000 0.500
0.500 0.500 0.000

#b
GGA-PBE TaCd2Tc, optimized geometry; symmetry = I4/mmm, No. 139
1.0
-1.966 1.966 4.647
1.966 -1.966 4.647
1.966 1.966 -4.647
Ta Cd Tc
1 2 1
Direct
0.000 0.000 0.000
0.250 0.750 0.500
0.750 0.250 0.500
0.500 0.500 0.000

Which one is most stable, and which one is least stable? #a is the most stable of them, while #b is the least stable.